Record 1
The following is a SCAN calculation of a crystal of CdSb3As relaxed with PBEsol, from Alexandria.

Unit cell a=5.3511 b=5.3511 c=5.3511 alpha=90.00 beta=90.00 gamma=90.00
Last column: nearest neighbours and their distance in Å.
Space group Pm-3m (No. 221)
One atom of each set of equivalent atoms:
Cd1 0.0000 0.0000 0.0000  6 Sb 2.68
Sb1 0.0000 0.0000 0.5000  2 Cd 2.68
As1 0.5000 0.5000 0.5000  12 Sb 3.78

mass density = 5989 kg/m³
Fermi-level density of states = 4.52 states/eV per cell
formation energy without anion corrections = 100.3 kJ per mole of atoms
ΔE to the lowest computed polymorph = 33.5 kJ per mole of atoms

=====

Record 2
The following is a SCAN calculation of a crystal of FeRu3 relaxed with PBEsol, from Alexandria.

Unit cell a=2.6438 b=2.6438 c=8.2605 alpha=90.00 beta=90.00 gamma=120.00
Last column: nearest neighbours and their distance in Å.
Space group P-6m2 (No. 187)
One atom of each set of equivalent atoms:
Fe1 0.0000 0.0000 0.0000  6 Ru 2.50, 6 Fe 2.64
Ru1 0.0000 0.0000 0.5000  12 Ru 2.64
Ru2 0.6667 0.3333 0.2395  3 Fe 2.50, 9 Ru 2.64

mass density = 11924 kg/m³
Fermi-level density of states = 3.31 states/eV per cell
formation enthalpy at 0 K = 179 meV per atom

=====

Record 3
The following is a SCAN calculation of a crystal of CaIn3Pb relaxed with PBEsol, from Alexandria.

Unit cell a=5.6793 b=5.6793 c=5.6793 alpha=90.00 beta=90.00 gamma=90.00
Last column: nearest neighbours and their distance in Å.
Space group Pm-3m (No. 221)
One atom of each set of equivalent atoms:
Ca1 0.0000 0.0000 0.0000  12 In 4.02
In1 0.0000 0.5000 0.5000  2 Pb 2.84
Pb1 0.5000 0.5000 0.5000  6 In 2.84

mass density = 5364 kg/m³
Fermi-level density of states = 3.08 states/eV per cell
formation enthalpy at 0 K = 311 meV per atom